(1)
VASP calculation (PBE-GGA) on an optimized crystal structure of BaSrCdPt2.

Calculated values
**E above lowest polymorph**: 0 meV per atom
**Total DFT energy (no corrections)**: -14.48 eV/cell
**E_form**: 0.425 eV per atom
**Space-group type**: P4/mmm, No. 123

The structure in extended XYZ format:
```
5
Lattice="5.6348 0.0000 0.0000 0.0000 5.6348 0.0000 0.0000 0.0000 5.8898" Properties=species:S:1:pos:R:3 pbc="T T T"
Ba 0.0000 0.0000 0.0000
Sr 2.8174 2.8174 2.9449
Cd 0.0000 0.0000 2.9449
Pt 0.0000 2.8174 0.0000
Pt 2.8174 0.0000 0.0000
```

=====

(2)
VASP calculation (PBE-GGA) on an optimized crystal structure of CaHf2Ta.

Calculated values
**E above lowest polymorph**: 459 meV per atom
**Total DFT energy (no corrections)**: -119.42 eV/cell
**E_form**: 0.976 eV per atom
**Space-group type**: I-42d, No. 122

The structure in extended XYZ format:
```
16
Lattice="4.3641 0.0000 0.0000 0.0000 4.3641 0.0000 0.0000 0.0000 20.4698" Properties=species:S:1:pos:R:3 pbc="T T T"
Ca 0.0000 0.0000 0.0000
Ca 0.0000 2.1821 5.1175
Ca 2.1821 0.0000 15.3524
Ca 2.1821 2.1821 10.2349
Hf 0.9912 1.0910 12.7936
Hf 1.0910 3.1733 17.9111
Hf 1.0910 3.3729 7.6762
Hf 1.1908 1.0910 2.5587
Hf 3.1733 3.2731 2.5587
Hf 3.2731 0.9912 7.6762
Hf 3.2731 1.1908 17.9111
Hf 3.3729 3.2731 12.7936
Ta 0.0000 0.0000 10.2349
Ta 0.0000 2.1821 15.3524
Ta 2.1821 0.0000 5.1175
Ta 2.1821 2.1821 0.0000
```

=====

(3)
VASP calculation (PBE-GGA) on an optimized crystal structure of ErGa4Ag8.

Calculated values
**Total DFT energy (no corrections)**: -40.95 eV/cell
**E_form**: -0.113 eV per atom
**Space-group type**: I4/mmm, No. 139

The structure in extended XYZ format:
```
13
Lattice="-4.6905 4.6905 2.6732 4.6905 -4.6905 2.6732 4.6905 4.6905 -2.6732" Properties=species:S:1:pos:R:3 pbc="T T T"
Er 0.0000 0.0000 0.0000
Ga 2.3452 2.3452 -1.3366
Ga 2.3452 -2.3452 1.3366
Ga -2.3452 2.3452 1.3366
Ga 2.3452 2.3452 1.3366
Ag 3.2414 0.0000 0.0000
Ag 6.1396 0.0000 0.0000
Ag 4.6905 2.6794 0.0000
Ag 0.0000 3.2414 0.0000
Ag 2.6794 4.6905 0.0000
Ag 2.0111 0.0000 2.6732
Ag 0.0000 6.1396 0.0000
Ag 0.0000 2.0111 2.6732
```

=====

(4)
VASP calculation (PBE-GGA) on an optimized crystal structure of TaGeBr2.

Calculated values
**Formation energy (no corrections)**: 0.085 eV/f.u.
**E above lowest polymorph**: 0 meV per atom
**Total DFT energy (no corrections)**: -59.19 eV/cell
**Space-group type**: R-3m, No. 166

The structure in extended XYZ format:
```
12
Lattice="3.2201 0.0000 0.0000 -1.6100 2.7887 0.0000 0.0000 0.0000 34.6512" Properties=species:S:1:pos:R:3 pbc="T T T"
Ta 0.0000 0.0000 0.0000
Ta 0.0000 1.8591 23.1008
Ta 1.6100 0.9296 11.5504
Ge 0.0000 0.0000 17.3256
Ge 0.0000 1.8591 5.7752
Ge 1.6100 0.9296 28.8760
Br 0.0000 0.0000 13.4857
Br 0.0000 0.0000 21.1656
Br 0.0000 1.8591 1.9352
Br 0.0000 1.8591 9.6152
Br 1.6100 0.9296 25.0361
Br 1.6100 0.9296 32.7160
```

=====

| no. | spin magnetization (μB/f.u.) |
| --- | --- |
| 1 | 0.00 |
| 2 | 0.00 |
| 3 | 0.00 |
| 4 | 0.00 |